[1]
Density functional theory data (PBE) for a relaxed structure of BaTePd.

The structure in CIF format:
```
data_BaTePd
_chemical_formula_sum 'Ba2 Te2 Pd2'
_space_group_name_H-M_alt 'P -1'
_space_group_IT_number 2
_cell_length_a 4.618
_cell_length_b 6.352
_cell_length_c 6.742
_cell_angle_alpha 96.43
_cell_angle_beta 109.11
_cell_angle_gamma 91.46
loop_
_space_group_symop_operation_xyz
'x,y,z'
'-x,-y,-z'
loop_
_atom_site_label
_atom_site_fract_x
_atom_site_fract_y
_atom_site_fract_z
Ba1 0.096 0.301 0.217
Te1 0.384 0.252 0.770
Pd1 0.210 0.883 0.416
```

Values from the calculation:
The calculation puts the formation energy (no corrections) at -3.15 eV per formula unit. For the density of states at the Fermi level, the calculation gives 0.8 states/eV/cell. The total energy comes out at -4.4677 eV/atom.

***

[2]
Density functional theory data (PBE) for a relaxed structure of BaTe2Pd.

The structure in CIF format:
```
data_BaTe2Pd
_chemical_formula_sum 'Ba4 Te8 Pd4'
_space_group_name_H-M_alt 'I -4 2 d'
_space_group_IT_number 122
_space_group_name_Hall 'I -4 2bw'
_cell_length_a 5.885
_cell_length_b 5.885
_cell_length_c 17.279
_cell_angle_alpha 90.00
_cell_angle_beta 90.00
_cell_angle_gamma 90.00
loop_
_atom_site_label
_atom_site_fract_x
_atom_site_fract_y
_atom_site_fract_z
Ba1 0.000 0.000 0.000
Te1 0.104 0.250 0.625
Pd1 0.000 0.000 0.500
```

Values from the calculation:
The energy above the most stable polymorph in this dataset is 0.000 eV per atom. The calculation puts the formation energy (no corrections) at -2.95 eV per formula unit. For the density of states at the Fermi level, the calculation gives 0.3 states/eV/cell. The total energy comes out at -4.0876 eV/atom.

***

[3]
Density functional theory data (PBE) for a relaxed structure of Ba2TePd2.

The structure in CIF format:
```
data_Ba2TePd2
_chemical_formula_sum 'Ba4 Te2 Pd4'
_space_group_name_H-M_alt 'I 4/m m m'
_space_group_IT_number 139
_space_group_name_Hall '-I 4 2'
_cell_length_a 4.132
_cell_length_b 4.132
_cell_length_c 18.192
_cell_angle_alpha 90.00
_cell_angle_beta 90.00
_cell_angle_gamma 90.00
loop_
_atom_site_label
_atom_site_fract_x
_atom_site_fract_y
_atom_site_fract_z
Ba1 0.000 0.000 0.113
Te1 0.000 0.000 0.500
Pd1 0.000 0.500 0.250
```

Values from the calculation:
The energy above the most stable polymorph in this dataset is 0.019 eV per atom. The calculation puts the formation energy (no corrections) at -4.06 eV per formula unit. For the density of states at the Fermi level, the calculation gives 2.9 states/eV/cell. The total energy comes out at -4.2874 eV/atom.

***

[4]
Density functional theory data (PBE) for a relaxed structure of BaTePd.

The structure in CIF format:
```
data_BaTePd
_chemical_formula_sum 'Ba2 Te2 Pd2'
_space_group_name_H-M_alt 'P 4/n m m'
_space_group_IT_number 129
_cell_length_a 5.550
_cell_length_b 5.550
_cell_length_c 6.179
_cell_angle_alpha 90.00
_cell_angle_beta 90.00
_cell_angle_gamma 90.00
loop_
_space_group_symop_operation_xyz
'x,y,z'
'-x,-y,-z'
'-y+1/2,x,z'
'y+1/2,-x,-z'
'-x+1/2,-y+1/2,z'
'x+1/2,y+1/2,-z'
'y,-x+1/2,z'
'-y,x+1/2,-z'
'x+1/2,-y,-z'
'-x+1/2,y,z'
'-y,-x,-z'
'y,x,z'
'-x,y+1/2,-z'
'x,-y+1/2,z'
'y+1/2,x+1/2,-z'
'-y+1/2,-x+1/2,z'
loop_
_atom_site_label
_atom_site_fract_x
_atom_site_fract_y
_atom_site_fract_z
Ba1 0.250 0.250 0.154
Te1 0.250 0.750 0.500
Pd1 0.250 0.250 0.657
```

Values from the calculation:
The calculation puts the formation energy (no corrections) at -2.06 eV per formula unit. For the density of states at the Fermi level, the calculation gives 2.8 states/eV/cell. The total energy comes out at -4.1053 eV/atom.

***

[5]
Density functional theory data (PBE) for a relaxed structure of BaTePd.

The structure in CIF format:
```
data_BaTePd
_chemical_formula_sum 'Ba2 Te2 Pd2'
_space_group_name_H-M_alt 'P 1'
_space_group_IT_number 1
_cell_length_a 5.042
_cell_length_b 5.054
_cell_length_c 9.035
_cell_angle_alpha 75.66
_cell_angle_beta 84.94
_cell_angle_gamma 65.28
loop_
_space_group_symop_operation_xyz
'x,y,z'
loop_
_atom_site_label
_atom_site_fract_x
_atom_site_fract_y
_atom_site_fract_z
Ba1 0.000 0.000 0.000
Ba2 0.281 0.539 0.544
Te1 0.630 0.772 0.779
Te2 0.920 0.271 0.340
Pd1 0.490 0.113 0.282
Pd2 0.644 0.620 0.088
```

Values from the calculation:
The calculation puts the formation energy (no corrections) at -3.13 eV per formula unit. For the density of states at the Fermi level, the calculation gives 0.0 states/eV/cell. The total energy comes out at -4.4617 eV/atom.

***

[6]
Density functional theory data (PBE) for a relaxed structure of BaTe2Pd2.

The structure in CIF format:
```
data_BaTe2Pd2
_chemical_formula_sum 'Ba4 Te8 Pd8'
_space_group_name_H-M_alt 'P n m a'
_space_group_IT_number 62
_cell_length_a 9.820
_cell_length_b 4.647
_cell_length_c 11.812
_cell_angle_alpha 90.00
_cell_angle_beta 90.00
_cell_angle_gamma 90.00
loop_
_space_group_symop_operation_xyz
'x,y,z'
'-x,-y,-z'
'-x+1/2,-y,z+1/2'
'x+1/2,y,-z+1/2'
'x+1/2,-y+1/2,-z+1/2'
'-x+1/2,y+1/2,z+1/2'
'-x,y+1/2,-z'
'x,-y+1/2,z'
loop_
_atom_site_label
_atom_site_fract_x
_atom_site_fract_y
_atom_site_fract_z
Ba1 0.246 0.250 0.165
Te1 0.042 0.750 0.338
Te2 0.145 0.750 0.949
Pd1 0.040 0.250 0.876
Pd2 0.077 0.250 0.454
```

Values from the calculation:
The energy above the most stable polymorph in this dataset is 0.000 eV per atom. The calculation puts the formation energy (no corrections) at -4.40 eV per formula unit. For the density of states at the Fermi level, the calculation gives 12.8 states/eV/cell. The total energy comes out at -4.5978 eV/atom.

***

[7]
Density functional theory data (PBE) for a relaxed structure of BaTe2Pd3.

The structure in CIF format:
```
data_BaTe2Pd3
_chemical_formula_sum 'Ba4 Te8 Pd12'
_space_group_name_H-M_alt 'C 1 2/m 1'
_space_group_IT_number 12
_cell_length_a 17.150
_cell_length_b 4.613
_cell_length_c 8.292
_cell_angle_alpha 90.00
_cell_angle_beta 115.22
_cell_angle_gamma 90.00
loop_
_space_group_symop_operation_xyz
'x,y,z'
'-x,-y,-z'
'-x,y,-z'
'x,-y,z'
'x+1/2,y+1/2,z'
'-x+1/2,-y+1/2,-z'
'-x+1/2,y+1/2,-z'
'x+1/2,-y+1/2,z'
loop_
_atom_site_label
_atom_site_fract_x
_atom_site_fract_y
_atom_site_fract_z
Ba1 0.141 0.000 0.074
Te1 0.016 0.500 0.228
Te2 0.195 0.000 0.711
Pd1 0.053 0.000 0.401
Pd2 0.104 0.500 0.636
Pd3 0.190 0.500 0.418
```

Values from the calculation:
The calculation puts the formation energy (no corrections) at -4.17 eV per formula unit. For the density of states at the Fermi level, the calculation gives 15.9 states/eV/cell. The total energy comes out at -4.6595 eV/atom.

***

[8]
Density functional theory data (PBE) for a relaxed structure of BaThTe3Pd.

The structure in CIF format:
```
data_BaThTe3Pd
_chemical_formula_sum 'Ba4 Th4 Te12 Pd4'
_space_group_name_H-M_alt 'C m c m'
_space_group_IT_number 63
_space_group_name_Hall '-C 2c 2'
_cell_length_a 4.491
_cell_length_b 15.238
_cell_length_c 11.440
_cell_angle_alpha 90.00
_cell_angle_beta 90.00
_cell_angle_gamma 90.00
loop_
_atom_site_label
_atom_site_fract_x
_atom_site_fract_y
_atom_site_fract_z
Ba1 0.000 0.249 0.250
Th1 0.000 0.000 0.000
Te1 0.000 0.077 0.750
Te2 0.000 0.360 0.559
Pd1 0.000 0.471 0.750
```

Values from the calculation:
The calculation puts the formation energy (no corrections) at -7.73 eV per formula unit. The total energy comes out at -5.2819 eV/atom.

***

[9]
Density functional theory data (PBE) for a relaxed structure of BaThTe4Pd.

The structure in CIF format:
```
data_BaThTe4Pd
_chemical_formula_sum 'Ba4 Th4 Te16 Pd4'
_space_group_name_H-M_alt 'C m c m'
_space_group_IT_number 63
_space_group_name_Hall '-C 2c 2'
_cell_length_a 6.503
_cell_length_b 19.677
_cell_length_c 6.955
_cell_angle_alpha 90.00
_cell_angle_beta 90.00
_cell_angle_gamma 90.00
loop_
_atom_site_label
_atom_site_fract_x
_atom_site_fract_y
_atom_site_fract_z
Ba1 0.000 0.117 0.250
Th1 0.000 0.387 0.250
Te1 0.000 0.055 0.750
Te2 0.000 0.444 0.750
Te3 0.250 0.250 0.000
Pd1 0.000 0.185 0.750
```

Values from the calculation:
The calculation puts the formation energy (no corrections) at -6.47 eV per formula unit. For the density of states at the Fermi level, the calculation gives 5.0 states/eV/cell. The total energy comes out at -4.7964 eV/atom.

***

[10]
Density functional theory data (PBE) for a relaxed structure of BaTiTePd2.

The structure in CIF format:
```
data_BaTiTePd2
_chemical_formula_sum 'Ba1 Ti1 Te1 Pd2'
_space_group_name_H-M_alt 'P 4/m m m'
_space_group_IT_number 123
_space_group_name_Hall '-P 4 2'
_cell_length_a 4.803
_cell_length_b 4.803
_cell_length_c 6.585
_cell_angle_alpha 90.00
_cell_angle_beta 90.00
_cell_angle_gamma 90.00
loop_
_atom_site_label
_atom_site_fract_x
_atom_site_fract_y
_atom_site_fract_z
Ba1 0.000 0.000 0.000
Ti1 0.000 0.000 0.500
Te1 0.500 0.500 0.000
Pd1 0.000 0.500 0.500
```

Values from the calculation:
The calculation puts the formation energy (no corrections) at 0.88 eV per formula unit. For the density of states at the Fermi level, the calculation gives 4.9 states/eV/cell. The total energy comes out at -4.4934 eV/atom.

***

Number 1: total moment 0.00 μB per cell. Number 2: total moment 0.00 μB per cell. Number 3: total moment 0.00 μB per cell. Number 4: total moment 0.00 μB per cell. Number 5: total moment 0.00 μB per cell. Number 6: total moment 0.00 μB per cell. Number 7: total moment 0.00 μB per cell. Number 8: total moment 0.00 μB per cell. Number 9: total moment 0.00 μB per cell. Number 10: total moment 1.40 μB per cell.